# K2CrSiO4 PBE with a Hubbard U relaxed
data_K2CrSiO4
_chemical_formula_sum 'K4 Cr2 Si2 O8'
_space_group_name_H-M_alt 'I -4'
_space_group_IT_number 82
_cell_length_a 5.927
_cell_length_b 5.927
_cell_length_c 6.919
_cell_angle_alpha 90.00
_cell_angle_beta 90.00
_cell_angle_gamma 90.00
loop_
_space_group_symop_operation_xyz
'x,y,z'
'y,-x,-z'
'-x,-y,z'
'-y,x,-z'
'x+1/2,y+1/2,z+1/2'
'y+1/2,-x+1/2,-z+1/2'
'-x+1/2,-y+1/2,z+1/2'
'-y+1/2,x+1/2,-z+1/2'
loop_
_atom_site_label
_atom_site_type_symbol
_atom_site_fract_x
_atom_site_fract_y
_atom_site_fract_z
K1 K 0.000 0.000 0.000
K2 K 0.000 0.500 0.250
Cr1 Cr 0.000 0.500 0.750
Si1 Si 0.000 0.000 0.500
O1 O 0.115 0.199 0.637
# - Calculated volume: 243 Å³/cell
# - Total DFT energy (no corrections): -6.484 eV per atom